The following is a PBE calculation of Mg6GaO8 after structural relaxation, from Alexandria.

E_form (uncorrected) ... -2397 meV/atom
SG ... Fm-3m

Unit cell a=6.013 b=6.013 c=6.013 alpha=60.00 beta=60.00 gamma=60.00
Last column: magnetic moment on the atom in μB.
Fractional positions:
Mg 0.000 0.500 0.500  0.00
Mg 0.500 0.000 0.000  0.00
Mg 0.500 0.500 0.000  0.00
Mg 0.000 0.000 0.500  0.00
Mg 0.000 0.500 0.000  0.00
Mg 0.500 0.000 0.500  0.00
Ga 0.000 0.000 0.000  0.03
O 0.750 0.750 0.750  0.01
O 0.250 0.250 0.250  0.01
O 0.765 0.235 0.235  0.15
O 0.235 0.765 0.765  0.15
O 0.235 0.235 0.765  0.15
O 0.765 0.765 0.235  0.15
O 0.765 0.235 0.765  0.15
O 0.235 0.765 0.235  0.15